CeTh2ScSb5 | PBE | optimized geometry

Results
Formation energy from raw total energies   -0.394 eV/atom
Uncorrected energy   -51.3 eV per formula unit

Cell lengths 5.0610, 5.0610, 11.5546 Å; angles 90.00, 90.00, 90.00 degrees
With the nearest neighbours (Å) after each atom.
Sites, in units of the cell vectors:
Ce 0.0000 0.0000 0.0000  2 Sb 2.93
Th 0.5000 0.5000 0.3017  9 Sb 3.41-3.62
Th 0.5000 0.5000 0.6983  9 Sb 3.41-3.62
Sc 0.0000 0.0000 0.5000  4 Sb 2.53
Sb 0.0000 0.0000 0.2539  1 Sc 2.84, 1 Ce 2.93
Sb 0.0000 0.0000 0.7461  1 Sc 2.84, 1 Ce 2.93
Sb 0.0000 0.5000 0.5000  2 Sc 2.53
Sb 0.5000 0.0000 0.5000  2 Sc 2.53
Sb 0.5000 0.5000 0.0000  2 Th 3.49, 4 Ce 3.58

***

ZrTa2SnI | PBE | optimized geometry

Results
Formation energy from raw total energies   1.598 eV/atom
Uncorrected energy   -29.8 eV per formula unit

Cell lengths 5.1153, 5.1153, 5.5130 Å; angles 90.00, 90.00, 90.00 degrees
With the nearest neighbours (Å) after each atom.
Sites, in units of the cell vectors:
Zr 0.0000 0.0000 0.0000  4 Ta 2.56, 2 Sn 2.76
Ta 0.0000 0.5000 0.0000  2 Zr 2.56
Ta 0.5000 0.0000 0.0000  2 Zr 2.56
Sn 0.0000 0.0000 0.5000  2 Zr 2.76
I 0.5000 0.5000 0.5000  4 Sn 3.62, 8 Ta 3.76

***

La4Pm | PBE | optimized geometry

Results
Formation energy   0.015 eV/atom
ΔE to the lowest computed polymorph   0.0011 eV/atom
Uncorrected energy   -24.4 eV per formula unit

Cell lengths 13.3763, 13.3763, 13.3763 Å; angles 164.05, 164.05, 22.64 degrees
With the nearest neighbours (Å) after each atom.
Sites, in units of the cell vectors:
La 0.0990 0.0990 0.0000  4 Pm 3.69, 8 La 3.71
La 0.3011 0.3011 0.0000  12 La 3.71-3.75
La 0.6989 0.6989 0.0000  12 La 3.71-3.75
La 0.9010 0.9010 0.0000  4 Pm 3.69, 8 La 3.71
Pm 0.5000 0.5000 0.0000  8 La 3.69, 4 Pm 3.71

***

LaScTl | PBE | optimized geometry

Results
Formation energy   -0.205 eV/atom
ΔE to the lowest computed polymorph   0.0842 eV/atom
Uncorrected energy   -14.2 eV per formula unit

Cell lengths 5.1388, 5.1388, 3.8845 Å; angles 90.00, 90.00, 120.00 degrees
With the nearest neighbours (Å) after each atom.
Sites, in units of the cell vectors:
La 0.0000 0.0000 0.0000  6 Sc 3.55, 6 Tl 3.55, 2 La 3.88
Sc 0.6667 0.3333 0.5000  3 Tl 2.97
Tl 0.3333 0.6667 0.5000  3 Sc 2.97